No. 1
DFT (PBE) results for crystalline HfNb2Ni2 at its relaxed geometry.

Its density of states at the Fermi level is 1.198 states/eV per atom. The value obtained for the polymorph energy (0 for the lowest one) is 0 meV/atom.

The structure belongs to space group P4/mbm (No. 127); the cell edges are 7.1245, 7.1245 and 3.1720 Å and the angles 90.00°, 90.00° and 90.00°. The distinct sites, in fractional coordinates, are Hf at (0.0000, 0.0000, 0.0000), Nb at (0.1728, 0.3272, 0.5000) and Ni at (0.1215, 0.6215, 0.0000).

***

No. 2
DFT (PBE) results for crystalline HfNbNi2 at its relaxed geometry.

Its density of states at the Fermi level is 1.147 states/eV per atom. The value obtained for the polymorph energy (0 for the lowest one) is 16 meV/atom.

The structure belongs to space group P4/mmm (No. 123); the cell edges are 4.1377, 4.1377 and 3.5565 Å and the angles 90.00°, 90.00° and 90.00°. The distinct sites, in fractional coordinates, are Hf at (0.0000, 0.0000, 0.0000), Nb at (0.5000, 0.5000, 0.0000) and Ni at (0.0000, 0.5000, 0.5000).

***

No. 3
DFT (PBE) results for crystalline HfNb2Ni2 at its relaxed geometry.

Its density of states at the Fermi level is 0.857 states/eV per atom. The value obtained for the polymorph energy (0 for the lowest one) is 379 meV/atom.

The structure belongs to space group I4/mmm (No. 139); the cell edges are 3.4621, 3.4621 and 14.1238 Å and the angles 90.00°, 90.00° and 90.00°. The distinct sites, in fractional coordinates, are Hf at (0.0000, 0.0000, 0.0000), Nb at (0.0000, 0.0000, 0.3873) and Ni at (0.0000, 0.5000, 0.2500).